Record 1
Computed, not measured: crystalline PmEuAl2 at its relaxed geometry at the PBE level of DFT.

Computed properties:
total moment: 7.22 μB/f.u.
symmetry: No. 166
formation enthalpy at 0 K: -0.030 eV/atom

Cell lengths 3.663, 3.663, 9.928 Å; angles 79.37, 79.37, 60.00 degrees
Each line ends with the local moment (μB).
Sites, in units of the cell vectors:
Eu: 0.000 0.000 0.000  6.88
Pm: 0.500 0.500 0.500  -0.01
Al: 0.249 0.249 0.254  0.00
Al: 0.751 0.751 0.746  0.00

***

Record 2
Computed, not measured: crystalline PmEuAl2 at its relaxed geometry at the PBE level of DFT.

Computed properties:
total moment: 7.07 μB/f.u.
symmetry: No. 123
formation enthalpy at 0 K: -0.289 eV/atom

Cell lengths 3.731, 3.731, 7.515 Å; angles 90.00, 90.00, 90.00 degrees
Each line ends with the local moment (μB).
Sites, in units of the cell vectors:
Pm: 0.500 0.500 0.000  0.00
Eu: 0.500 0.500 0.500  6.82
Al: 0.000 0.000 0.240  -0.01
Al: 0.000 0.000 0.760  -0.01

***

Record 3
Computed, not measured: crystalline PmPrEuAl at its relaxed geometry at the PBE level of DFT.

Computed properties:
total moment: 7.25 μB/f.u.
symmetry: No. 216
formation enthalpy at 0 K: -0.059 eV/atom

Cell lengths 5.534, 5.534, 5.534 Å; angles 60.00, 60.00, 60.00 degrees
Each line ends with the local moment (μB).
Sites, in units of the cell vectors:
Al: 0.250 0.250 0.250  -0.02
Pr: 0.500 0.500 0.500  0.06
Pm: 0.000 0.000 0.000  0.06
Eu: 0.750 0.750 0.750  6.89

***

Record 4
Computed, not measured: crystalline PmEuAlPt at its relaxed geometry at the PBE level of DFT.

Computed properties:
total moment: 6.90 μB/f.u.
symmetry: No. 216
formation enthalpy at 0 K: -0.560 eV/atom

Cell lengths 5.175, 5.175, 5.175 Å; angles 60.00, 60.00, 60.00 degrees
Each line ends with the local moment (μB).
Sites, in units of the cell vectors:
Al: 0.250 0.250 0.250  -0.01
Pt: 0.750 0.750 0.750  -0.03
Eu: 0.000 0.000 0.000  6.75
Pm: 0.500 0.500 0.500  0.00

***

Record 5
Computed, not measured: crystalline PmSmEuAl at its relaxed geometry at the PBE level of DFT.

Computed properties:
total moment: 7.28 μB/f.u.
symmetry: No. 216
formation enthalpy at 0 K: -0.052 eV/atom

Cell lengths 5.494, 5.494, 5.494 Å; angles 60.00, 60.00, 60.00 degrees
Each line ends with the local moment (μB).
Sites, in units of the cell vectors:
Eu: 0.750 0.750 0.750  6.88
Sm: 0.500 0.500 0.500  0.07
Al: 0.250 0.250 0.250  -0.02
Pm: 0.000 0.000 0.000  0.07

***

Record 6
Computed, not measured: crystalline PmEuAlSn at its relaxed geometry at the PBE level of DFT.

Computed properties:
total moment: 7.03 μB/f.u.
symmetry: No. 216
formation enthalpy at 0 K: -0.438 eV/atom

Cell lengths 5.386, 5.386, 5.386 Å; angles 60.00, 60.00, 60.00 degrees
Each line ends with the local moment (μB).
Sites, in units of the cell vectors:
Eu: 0.000 0.000 0.000  6.79
Pm: 0.500 0.500 0.500  0.03
Al: 0.750 0.750 0.750  -0.01
Sn: 0.250 0.250 0.250  -0.02

***

Record 7
Computed, not measured: crystalline TbPmEuAl at its relaxed geometry at the PBE level of DFT.

Computed properties:
total moment: 7.33 μB/f.u.
symmetry: No. 216
formation enthalpy at 0 K: -0.042 eV/atom

Cell lengths 5.462, 5.462, 5.462 Å; angles 60.00, 60.00, 60.00 degrees
Each line ends with the local moment (μB).
Sites, in units of the cell vectors:
Al: 0.250 0.250 0.250  0.02
Eu: 0.750 0.750 0.750  -6.88
Tb: 0.000 0.000 0.000  -0.11
Pm: 0.500 0.500 0.500  -0.09

***

Record 8
Computed, not measured: crystalline PmEuAlTl at its relaxed geometry at the PBE level of DFT.

Computed properties:
total moment: 7.37 μB/f.u.
symmetry: No. 216
formation enthalpy at 0 K: -0.301 eV/atom

Cell lengths 5.434, 5.434, 5.434 Å; angles 60.00, 60.00, 60.00 degrees
Each line ends with the local moment (μB).
Sites, in units of the cell vectors:
Al: 0.500 0.500 0.500  0.00
Pm: 0.750 0.750 0.750  0.09
Eu: 0.250 0.250 0.250  6.86
Tl: 0.000 0.000 0.000  0.01

***

Record 9
Computed, not measured: crystalline PmEuYAl at its relaxed geometry at the PBE level of DFT.

Computed properties:
total moment: 7.41 μB/f.u.
symmetry: No. 216
formation enthalpy at 0 K: -0.046 eV/atom

Cell lengths 5.464, 5.464, 5.464 Å; angles 60.00, 60.00, 60.00 degrees
Each line ends with the local moment (μB).
Sites, in units of the cell vectors:
Al: 0.250 0.250 0.250  0.02
Eu: 0.750 0.750 0.750  -6.89
Pm: 0.500 0.500 0.500  -0.10
Y: 0.000 0.000 0.000  -0.09

***

Record 10
Computed, not measured: crystalline PrEuAl2 at its relaxed geometry at the PBE level of DFT.

Computed properties:
total moment: 7.07 μB/f.u.
symmetry: No. 225
formation enthalpy at 0 K: -0.258 eV/atom

Cell lengths 5.325, 5.325, 5.325 Å; angles 60.00, 60.00, 60.00 degrees
Each line ends with the local moment (μB).
Sites, in units of the cell vectors:
Eu: 0.000 0.000 0.000  6.79
Pr: 0.500 0.500 0.500  0.03
Al: 0.750 0.750 0.750  -0.01
Al: 0.250 0.250 0.250  -0.01

***

Record 11
Computed, not measured: crystalline PrEuAl2 at its relaxed geometry at the PBE level of DFT.

Computed properties:
total moment: 7.23 μB/f.u.
symmetry: No. 166
formation enthalpy at 0 K: -0.013 eV/atom

Cell lengths 3.696, 3.696, 9.987 Å; angles 79.34, 79.34, 60.00 degrees
Each line ends with the local moment (μB).
Sites, in units of the cell vectors:
Al: 0.750 0.750 0.749  0.00
Al: 0.250 0.250 0.251  0.00
Pr: 0.500 0.500 0.500  0.01
Eu: 0.000 0.000 0.000  -6.87

***

Record 12
Computed, not measured: crystalline Pr2EuAl at its relaxed geometry at the PBE level of DFT.

Computed properties:
total moment: 7.23 μB/f.u.
symmetry: No. 225
formation enthalpy at 0 K: -0.064 eV/atom

Cell lengths 5.566, 5.566, 5.566 Å; angles 60.00, 60.00, 60.00 degrees
Each line ends with the local moment (μB).
Sites, in units of the cell vectors:
Al: 0.500 0.500 0.500  -0.02
Eu: 0.000 0.000 0.000  6.89
Pr: 0.750 0.750 0.750  0.05
Pr: 0.250 0.250 0.250  0.05

***

> Which value of total moment does entry 4 give?

6.90 μB/f.u.